DFT (PBE-GGA) results for CoNiMo2 after structural relaxation.

Its calculated total energy is -68.9 eV for the cell shown.

The structure belongs to space group Cmmm (No. 65); the cell edges are 5.2809, 7.4977 and 2.6589 Å and the angles 90.00°, 90.00° and 90.00°. Symmetry generates all atoms from Co at (0.0000, 0.0000, 0.0000), Ni at (0.0000, 0.5000, 0.0000) and Mo at (0.2500, 0.2500, 0.5000).